## SrAcGa (GGA-PBE)

Data for a relaxed SrAcGa crystal.

```
SrAcGa
1.0
-2.1153 -0.5865 3.2816
-3.1138 -1.0404 -2.1930
4.7595 -5.9668 -0.3734
Ac Sr Ga
1 1 1
direct
0.2963 0.2963 0.5926
0.0332 0.0332 0.0664
0.6705 0.6705 0.3410
```

For the formation energy, the calculation gives -251.3 meV/atom. For the total energy, the calculation gives -9.57 eV per formula unit. The space group is I4mm. The distance to the lowest polymorph of the same formula is 0.0647 eV per atom.